1.
Computed, not measured: crystalline Zr3ScFe8 at its relaxed geometry at the PBE level of DFT.

As for the density of states at the Fermi level: 5.7 states/eV/f.u. Its crystal system is trigonal. The total energy is -8.60 eV per atom.

```
data_Zr3ScFe8
_cell_length_a 4.9655
_cell_length_b 4.9655
_cell_length_c 24.3595
_cell_angle_alpha 90.00
_cell_angle_beta 90.00
_cell_angle_gamma 120.00
_symmetry_space_group_name_H-M 'R 3 m'
_symmetry_Int_Tables_number 160
_symmetry_space_group_name_Hall 'R 3 -2"'
loop_
_atom_site_label
_atom_site_type_symbol
_atom_site_fract_x
_atom_site_fract_y
_atom_site_fract_z
Zr1 Zr 0.0000 0.0000 0.0000
Zr2 Zr 0.0000 0.0000 0.1258
Zr3 Zr 0.0000 0.0000 0.5022
Sc1 Sc 0.0000 0.0000 0.6265
Fe1 Fe 0.0000 0.0000 0.3135
Fe2 Fe 0.0000 0.0000 0.8136
Fe3 Fe 0.9999 0.4999 0.0636
Fe4 Fe 0.9996 0.4998 0.5636
```

***

2.
Computed, not measured: crystalline Li2Al2GaCu2 at its relaxed geometry at the PBE level of DFT.

As for the density of states at the Fermi level: 2.1 states/eV/f.u. Its crystal system is monoclinic. The total energy is -3.39 eV per atom.

```
data_Li2Al2GaCu2
_cell_length_a 8.590
_cell_length_b 4.095
_cell_length_c 6.430
_cell_angle_alpha 90.00
_cell_angle_beta 112.71
_cell_angle_gamma 90.00
_symmetry_space_group_name_H-M 'C 1 2/m 1'
_symmetry_Int_Tables_number 12
_symmetry_space_group_name_Hall '-C 2y'
loop_
_atom_site_label
_atom_site_type_symbol
_atom_site_fract_x
_atom_site_fract_y
_atom_site_fract_z
Li1 Li 0.239 0.000 0.345
Al1 Al 0.006 0.500 0.793
Ga1 Ga 0.000 0.000 0.500
Cu1 Cu 0.225 0.000 0.874
```

***

Record order is preserved below.
Volume: 14.45 14.90 A^3/atom
Record order is preserved below.
DFT formation energy: -0.2918 -0.1751 eV per atom